Entry 1:
Compound: YFe2Re2
Source: Alexandria via LeMat-Bulk
Functional: GGA-PBE
Structure: optimized geometry

As for the density of states at the Fermi level: 10.3 states/eV/cell. The total energy comes out at -9.50 eV per atom. The value obtained for the calculated formation energy is 0.79 eV/f.u. As for the polymorph energy (0 for the lowest one): 0.113 eV/atom. The value obtained for the total moment is 0.00 μB/atom.

The structure belongs to space group I4/mmm (No. 139); the cell edges are 4.101, 4.101 and 10.020 Å and the angles 90.00°, 90.00° and 90.00°. The distinct sites, in fractional coordinates, are Y at (0.000, 0.000, 0.000), Fe at (0.000, 0.500, 0.250) and Re at (0.000, 0.000, 0.374).

---

Entry 2:
Compound: Pu5Ga3Se12
Source: Alexandria via LeMat-Bulk
Functional: GGA-PBE
Structure: optimized geometry

The energy relative to the elements, uncorrected comes out at -0.668 eV/atom. As for the density of states at the Fermi level: 400.6 states/eV/cell. The total energy comes out at -6.80 eV per atom. The value obtained for the total moment is 0.94 μB/atom.

The structure belongs to space group Ia-3d (No. 230); the cell edges are 17.034, 17.034 and 17.034 Å and the angles 90.00°, 90.00° and 90.00°. The distinct sites, in fractional coordinates, are Pu at (0.000, 0.000, 0.000), Pu at (0.000, 0.250, 0.375), Ga at (0.000, 0.250, 0.125) and Se at (0.030, 0.072, 0.644).

---

Entry 3:
Compound: K2PdRhF6
Source: Alexandria via LeMat-Bulk
Functional: GGA-PBE
Structure: optimized geometry

The energy relative to the elements, uncorrected comes out at -1.874 eV/atom. As for the density of states at the Fermi level: 6.2 states/eV/cell. The total energy comes out at -4.47 eV per atom. The value obtained for the total moment is 0.11 μB/atom.

The structure belongs to space group Pmmn (No. 59, origin choice 2); the cell edges are 6.098, 8.587 and 6.107 Å and the angles 90.00°, 90.00° and 90.00°. The distinct sites, in fractional coordinates, are K at (0.250, 0.000, 0.250), Pd at (0.250, 0.250, 0.749), Rh at (0.250, 0.750, 0.751), F at (0.011, 0.750, 0.513), F at (0.011, 0.750, 0.989) and F at (0.250, 0.510, 0.751).

---

Entry 4:
Compound: Dy2TaN4
Source: Alexandria via LeMat-Bulk
Functional: GGA-PBE
Structure: optimized geometry

The energy relative to the elements, uncorrected comes out at -1.038 eV/atom. As for the density of states at the Fermi level: 8.6 states/eV/cell. The total energy comes out at -8.80 eV per atom. The value obtained for the total moment is 0.05 μB/atom.

The structure belongs to space group P2_1/m (No. 11); the cell edges are 5.959, 6.009 and 6.550 Å and the angles 90.00°, 107.01° and 90.00°. The distinct sites, in fractional coordinates, are Dy at (0.156, 0.250, 0.024), Dy at (0.224, 0.250, 0.549), Ta at (0.299, 0.750, 0.818), N at (0.059, 0.512, 0.755), N at (0.476, 0.250, 0.342) and N at (0.500, 0.250, 0.891).

---

Entry 5:
Compound: Ac3Te4
Source: Alexandria via LeMat-Bulk
Functional: GGA-PBE
Structure: optimized geometry

The energy relative to the elements, uncorrected comes out at -1.577 eV/atom. As for the density of states at the Fermi level: 23.4 states/eV/cell. The total energy comes out at -5.13 eV per atom. The value obtained for the total moment is 0.00 μB/atom.

The structure belongs to space group I-43d (No. 220); the cell edges are 9.979, 9.979 and 9.979 Å and the angles 90.00°, 90.00° and 90.00°. The distinct sites, in fractional coordinates, are Ac at (0.000, 0.250, 0.875) and Te at (0.076, 0.424, 0.576).

---

Entry 6:
Compound: PaAgHgPb
Source: Alexandria via LeMat-Bulk
Functional: GGA-PBE
Structure: optimized geometry

As for the density of states at the Fermi level: 26.0 states/eV/cell. The total energy comes out at -3.94 eV per atom. The value obtained for the calculated formation energy is 0.60 eV/f.u. The value obtained for the total moment is 0.29 μB/atom.

The structure belongs to space group F-43m (No. 216); the cell edges are 7.327, 7.327 and 7.327 Å and the angles 90.00°, 90.00° and 90.00°. The distinct sites, in fractional coordinates, are Pa at (0.000, 0.000, 0.000), Ag at (0.000, 0.000, 0.500), Hg at (0.250, 0.250, 0.750) and Pb at (0.250, 0.250, 0.250).